(1)
# AlHgCl3, relaxed, DFT PBE
# E above lowest polymorph = 0 meV/atom
# Spin magnetization = 0.0 μB/f.u.
# Crystal system = triclinic
# DOS at the Fermi energy = 0.0 states/eV/cell
data_AlHgCl3
_cell_length_a 6.6964
_cell_length_b 6.2737
_cell_length_c 8.9689
_cell_angle_alpha 90.29
_cell_angle_beta 99.42
_cell_angle_gamma 89.56
_symmetry_space_group_name_H-M 'P 1'
_symmetry_Int_Tables_number 1
_symmetry_space_group_name_Hall 'P 1'
loop_
_atom_site_label
_atom_site_type_symbol
_atom_site_fract_x
_atom_site_fract_y
_atom_site_fract_z
Cl1 Cl 0.0739 0.3152 0.6277
Cl2 Cl 0.0463 0.8777 0.3251
Cl3 Cl 0.1310 0.4706 0.0165
Cl4 Cl 0.5596 0.0376 0.1336
Cl5 Cl 0.5555 0.4709 0.8281
Cl6 Cl 0.6304 0.8868 0.5226
Hg1 Hg 0.6358 0.4611 0.2124
Hg2 Hg 0.1462 0.8915 0.7078
Al1 Al 0.2368 0.5140 0.8076
Al2 Al 0.7283 0.8386 0.3108

---

(2)
# Mn3Tc12Mo5, relaxed, DFT PBE
# Formation energy from the elements = 22.34 eV per formula unit
# Spin magnetization = 2.6 μB/f.u.
# Crystal system = cubic
# DOS at the Fermi energy = 84.9 states/eV/cell
data_Mn3Tc12Mo5
_cell_length_a 12.3407
_cell_length_b 12.3407
_cell_length_c 12.3407
_cell_angle_alpha 109.47
_cell_angle_beta 109.47
_cell_angle_gamma 109.47
_symmetry_space_group_name_H-M 'P 1'
_symmetry_Int_Tables_number 1
_symmetry_space_group_name_Hall 'P 1'
loop_
_atom_site_label
_atom_site_type_symbol
_atom_site_fract_x
_atom_site_fract_y
_atom_site_fract_z
Mo1 Mo 0.2500 0.3750 0.6250
Mo2 Mo 0.3750 0.2500 0.1250
Mo3 Mo 0.5000 0.0000 0.0000
Mo4 Mo 0.7500 0.1250 0.8750
Mo5 Mo 0.0000 0.0000 0.0000
Mo6 Mo 0.1250 0.7500 0.3750
Mo7 Mo 0.5000 0.5000 0.0000
Mo8 Mo 0.5000 0.0000 0.5000
Mo9 Mo 0.6250 0.7500 0.8750
Mo10 Mo 0.8750 0.6250 0.7500
Mo11 Mo 0.8750 0.2500 0.6250
Mo12 Mo 0.2500 0.8750 0.1250
Mo13 Mo 0.1250 0.3750 0.2500
Mo14 Mo 0.0000 0.5000 0.5000
Mo15 Mo 0.3750 0.1250 0.7500
Mo16 Mo 0.7500 0.6250 0.3750
Mo17 Mo 0.6250 0.8750 0.2500
Mo18 Mo 0.0000 0.0000 0.5000
Mo19 Mo 0.0000 0.5000 0.0000
Mo20 Mo 0.5000 0.5000 0.5000
Tc1 Tc 0.1678 0.0622 0.9265
Tc2 Tc 0.3944 0.2587 0.3322
Tc3 Tc 0.7587 0.4265 0.3643
Tc4 Tc 0.0735 0.6357 0.7413
Tc5 Tc 0.4378 0.3643 0.6056
Tc6 Tc 0.8322 0.8944 0.2587
Tc7 Tc 0.9265 0.3643 0.2587
Tc8 Tc 0.6678 0.2413 0.6056
Tc9 Tc 0.4378 0.0735 0.3322
Tc10 Tc 0.4265 0.6678 0.0622
Tc11 Tc 0.6678 0.4265 0.5622
Tc12 Tc 0.7413 0.1357 0.0735
Tc13 Tc 0.1357 0.3944 0.0622
Tc14 Tc 0.3944 0.1357 0.5622
Tc15 Tc 0.8944 0.8322 0.7587
Tc16 Tc 0.8944 0.0622 0.6357
Tc17 Tc 0.9265 0.5622 0.1678
Tc18 Tc 0.3643 0.9265 0.7587
Tc19 Tc 0.7413 0.6056 0.1678
Tc20 Tc 0.1357 0.7413 0.5735
Tc21 Tc 0.3322 0.5735 0.4378
Tc22 Tc 0.5622 0.6357 0.3944
Tc23 Tc 0.0622 0.1678 0.4265
Tc24 Tc 0.8322 0.9378 0.0735
Tc25 Tc 0.2413 0.6678 0.1056
Tc26 Tc 0.2413 0.5735 0.6357
Tc27 Tc 0.6357 0.0735 0.2413
Tc28 Tc 0.3322 0.7587 0.3944
Tc29 Tc 0.9378 0.1056 0.8643
Tc30 Tc 0.5735 0.2413 0.1357
Tc31 Tc 0.0622 0.8944 0.1357
Tc32 Tc 0.2587 0.8643 0.9265
Tc33 Tc 0.1678 0.1056 0.7413
Tc34 Tc 0.1056 0.1678 0.2413
Tc35 Tc 0.9378 0.8322 0.5735
Tc36 Tc 0.7587 0.3322 0.8944
Tc37 Tc 0.8643 0.6056 0.9378
Tc38 Tc 0.8643 0.2587 0.4265
Tc39 Tc 0.3643 0.4378 0.1056
Tc40 Tc 0.5735 0.3322 0.9378
Tc41 Tc 0.6357 0.5622 0.8944
Tc42 Tc 0.6056 0.7413 0.6678
Tc43 Tc 0.5622 0.9265 0.6678
Tc44 Tc 0.6056 0.8643 0.4378
Tc45 Tc 0.1056 0.9378 0.3643
Tc46 Tc 0.0735 0.4378 0.8322
Tc47 Tc 0.4265 0.7587 0.8643
Tc48 Tc 0.2587 0.3944 0.8322
Mn1 Mn 0.3750 0.6250 0.2500
Mn2 Mn 0.8750 0.1250 0.2500
Mn3 Mn 0.1250 0.8750 0.7500
Mn4 Mn 0.7500 0.3750 0.1250
Mn5 Mn 0.2500 0.1250 0.3750
Mn6 Mn 0.3750 0.7500 0.6250
Mn7 Mn 0.6250 0.3750 0.7500
Mn8 Mn 0.2500 0.6250 0.8750
Mn9 Mn 0.7500 0.8750 0.6250
Mn10 Mn 0.8750 0.7500 0.1250
Mn11 Mn 0.6250 0.2500 0.3750
Mn12 Mn 0.1250 0.2500 0.8750

---

(3)
# PuTi4Ru5, relaxed, DFT PBE
# Formation energy from the elements = -5.98 eV per formula unit
# Spin magnetization = 4.8 μB/f.u.
# Crystal system = tetragonal
# DOS at the Fermi energy = 8.8 states/eV/cell
data_PuTi4Ru5
_cell_length_a 3.0916
_cell_length_b 3.0916
_cell_length_c 16.2434
_cell_angle_alpha 90.00
_cell_angle_beta 90.00
_cell_angle_gamma 90.00
_symmetry_space_group_name_H-M 'P 1'
_symmetry_Int_Tables_number 1
_symmetry_space_group_name_Hall 'P 1'
loop_
_atom_site_label
_atom_site_type_symbol
_atom_site_fract_x
_atom_site_fract_y
_atom_site_fract_z
Ti1 Ti 0.0000 0.0000 0.2133
Ti2 Ti 0.0000 0.0000 0.5954
Ti3 Ti 0.0000 0.0000 0.4046
Ti4 Ti 0.0000 0.0000 0.7867
Pu1 Pu 0.0000 0.0000 0.0000
Ru1 Ru 0.5000 0.5000 0.5000
Ru2 Ru 0.5000 0.5000 0.6880
Ru3 Ru 0.5000 0.5000 0.8750
Ru4 Ru 0.5000 0.5000 0.1250
Ru5 Ru 0.5000 0.5000 0.3120

---

(4)
# Tl2ZnTeO4, relaxed, DFT PBE
# Electronic total energy = -4.577 eV/atom
# Spin magnetization = 0.0 μB/f.u.
# Crystal system = triclinic
data_Tl2ZnTeO4
_cell_length_a 5.9329
_cell_length_b 6.5826
_cell_length_c 5.9509
_cell_angle_alpha 126.51
_cell_angle_beta 123.02
_cell_angle_gamma 85.22
_symmetry_space_group_name_H-M 'P 1'
_symmetry_Int_Tables_number 1
_symmetry_space_group_name_Hall 'P 1'
loop_
_atom_site_label
_atom_site_type_symbol
_atom_site_fract_x
_atom_site_fract_y
_atom_site_fract_z
Tl1 Tl 0.5283 0.0276 0.0562
Tl2 Tl 0.2848 0.2848 0.5693
O1 O 0.9010 0.0893 0.5936
O2 O 0.3807 0.7011 0.2182
O3 O 0.8351 0.5166 0.2156
O4 O 0.6927 0.5033 0.5924
Zn1 Zn 0.9832 0.4832 0.9664
Te1 Te 0.7813 0.7811 0.5624

---

(5)
# SrFe2Ru, relaxed, DFT PBE
# Formation energy from the elements = 2.07 eV per formula unit
# Spin magnetization = 5.7 μB/f.u.
# Crystal system = monoclinic
# DOS at the Fermi energy = 4.8 states/eV/cell
data_SrFe2Ru
_cell_length_a 3.2799
_cell_length_b 3.2660
_cell_length_c 7.6952
_cell_angle_alpha 64.97
_cell_angle_beta 90.00
_cell_angle_gamma 90.00
_symmetry_space_group_name_H-M 'P 1'
_symmetry_Int_Tables_number 1
_symmetry_space_group_name_Hall 'P 1'
loop_
_atom_site_label
_atom_site_type_symbol
_atom_site_fract_x
_atom_site_fract_y
_atom_site_fract_z
Fe1 Fe 0.0000 0.9130 0.0869
Fe2 Fe 0.0000 0.5870 0.4131
Ru1 Ru 0.5000 0.2500 0.2500
Sr1 Sr 0.5000 0.7500 0.7500